Record 1
First-principles (PBE) data for an optimized crystal structure of PRhSeN2, as listed in the Alexandria database.

Properties
Energy relative to the elements, uncorrected ... 1.238 eV/atom
Total DFT energy (no corrections) ... -5.34 eV per atom
Distance to the lowest polymorph of the same formula ... 179.3 kJ/mol of formula units

a b c (Å): 3.741 3.741 5.839
angles (deg): 90.00 90.00 90.00
Space group P4/mmm (No. 123)
Asymmetric unit:
1 P 0.000 0.000 0.000
2 Rh 0.500 0.500 0.500
3 Se 0.500 0.500 0.000
4 N 0.000 0.500 0.500

Record 2
First-principles (PBE) data for an optimized crystal structure of DySiAg, as listed in the Alexandria database.

Properties
Energy relative to the elements, uncorrected ... -0.401 eV/atom
Total DFT energy (no corrections) ... -4.69 eV per atom

a b c (Å): 6.494 6.494 6.494
angles (deg): 90.00 90.00 90.00
Space group F-43m (No. 216)
Asymmetric unit:
1 Dy 0.000 0.000 0.000
2 Si 0.250 0.250 0.750
3 Ag 0.000 0.000 0.500

Record 3
First-principles (PBE) data for an optimized crystal structure of Y3BiC, as listed in the Alexandria database.

Properties
Total DFT energy (no corrections) ... -7.07 eV per atom
Distance to the lowest polymorph of the same formula ... 2.0 kJ/mol of formula units
Energy of formation from the pure elements ... -0.57 eV/atom

a b c (Å): 3.814 13.046 9.864
angles (deg): 90.00 90.00 90.00
Space group Cmcm (No. 63)
Asymmetric unit:
1 Y 0.000 0.042 0.250
2 Y 0.000 0.379 0.042
3 Bi 0.000 0.252 0.750
4 C 0.000 0.000 0.000

Record 4
First-principles (PBE) data for an optimized crystal structure of Ga3Ni12Pt, as listed in the Alexandria database.

Properties
Total DFT energy (no corrections) ... -5.51 eV per atom
Energy of formation from the pure elements ... -0.23 eV/atom

a b c (Å): 3.616 3.616 14.262
angles (deg): 90.00 90.00 90.00
Space group P4/mmm (No. 123)
Asymmetric unit:
1 Ga 0.000 0.000 0.000
2 Ga 0.000 0.000 0.246
3 Ni 0.000 0.500 0.124
4 Ni 0.000 0.500 0.371
5 Ni 0.500 0.500 0.000
6 Ni 0.500 0.500 0.248
7 Ni 0.500 0.500 0.500
8 Pt 0.000 0.000 0.500

Record 5
First-principles (PBE) data for an optimized crystal structure of Pm4CdIn3, as listed in the Alexandria database.

Properties
Total DFT energy (no corrections) ... -3.92 eV per atom
Distance to the lowest polymorph of the same formula ... 45.9 kJ/mol of formula units
Energy of formation from the pure elements ... -0.40 eV/atom

a b c (Å): 3.872 4.896 12.377
angles (deg): 90.00 90.00 90.00
Space group Pmm2 (No. 25)
Asymmetric unit:
1 Pm 0.000 0.000 0.000
2 Pm 0.000 0.500 0.309
3 Pm 0.500 0.000 0.497
4 Pm 0.500 0.500 0.809
5 Cd 0.500 0.000 0.227
6 In 0.000 0.000 0.731
7 In 0.000 0.500 0.577
8 In 0.500 0.500 0.079

Record 6
First-principles (PBE) data for an optimized crystal structure of Li2Ag5, as listed in the Alexandria database.

Properties
Total DFT energy (no corrections) ... -2.67 eV per atom
Distance to the lowest polymorph of the same formula ... 27.0 kJ/mol of formula units
Energy of formation from the pure elements ... -0.09 eV/atom

a b c (Å): 6.741 12.545 5.744
angles (deg): 90.00 90.00 90.00
Space group Ibam (No. 72)
Asymmetric unit:
1 Li 0.214 0.119 0.000
2 Ag 0.000 0.272 0.250
3 Ag 0.000 0.500 0.250
4 Ag 0.183 0.101 0.500

Record 7
First-principles (PBE) data for an optimized crystal structure of Zr2CoTc, as listed in the Alexandria database.

Properties
Total DFT energy (no corrections) ... -8.60 eV per atom
Distance to the lowest polymorph of the same formula ... 161.7 kJ/mol of formula units
Energy of formation from the pure elements ... 0.05 eV/atom

a b c (Å): 6.462 6.462 6.462
angles (deg): 90.00 90.00 90.00
Space group F-43m (No. 216)
Asymmetric unit:
1 Zr 0.000 0.000 0.000
2 Zr 0.250 0.250 0.250
3 Co 0.250 0.250 0.750
4 Tc 0.000 0.000 0.500

Record 8
First-principles (PBE) data for an optimized crystal structure of LiCu8Sn3, as listed in the Alexandria database.

Properties
Total DFT energy (no corrections) ... -3.92 eV per atom
Distance to the lowest polymorph of the same formula ... 23.8 kJ/mol of formula units
Energy of formation from the pure elements ... -0.03 eV/atom

a b c (Å): 5.0469 5.0469 8.2510
angles (deg): 90.00 90.00 120.00
Space group P3m1 (No. 156)
Asymmetric unit:
1 Li 0.0000 0.0000 0.0000
2 Cu 0.9995 0.4998 0.2013
3 Cu 0.1648 0.3296 0.7051
4 Cu 0.3333 0.6667 0.4550
5 Cu 0.3333 0.6667 0.9522
6 Sn 0.0000 0.0000 0.3624
7 Sn 0.6667 0.3333 0.5206
8 Sn 0.6667 0.3333 0.9128

Record 9
First-principles (PBE) data for an optimized crystal structure of SrLa2SiN, as listed in the Alexandria database.

Properties
Energy relative to the elements, uncorrected ... -0.729 eV/atom
Total DFT energy (no corrections) ... -5.79 eV per atom

a b c (Å): 5.012 5.012 5.119
angles (deg): 90.00 90.00 90.00
Space group P4/mmm (No. 123)
Asymmetric unit:
1 Sr 0.000 0.000 0.000
2 La 0.000 0.500 0.500
3 Si 0.500 0.500 0.000
4 N 0.000 0.000 0.500

Record 10
First-principles (PBE) data for an optimized crystal structure of Dy5Y2Ho, as listed in the Alexandria database.

Properties
Total DFT energy (no corrections) ... -5.05 eV per atom
Energy of formation from the pure elements ... 0.02 eV/atom

a b c (Å): 7.098 14.196 5.011
angles (deg): 90.00 90.00 90.00
Space group Pbam (No. 55)
Asymmetric unit:
1 Dy 0.000 0.000 0.000
2 Dy 0.000 0.250 0.000
3 Dy 0.250 0.125 0.500
4 Y 0.250 0.375 0.500
5 Ho 0.000 0.500 0.000

Record 11
First-principles (PBE) data for an optimized crystal structure of Ce8Ga2Os3, as listed in the Alexandria database.

Properties
Total DFT energy (no corrections) ... -6.79 eV per atom
Energy of formation from the pure elements ... -0.09 eV/atom

a b c (Å): 15.747 7.313 6.829
angles (deg): 90.00 111.66 90.00
Space group C2/m (No. 12)
Asymmetric unit:
1 Ce 0.098 0.222 0.253
2 Ce 0.099 0.500 0.740
3 Ce 0.158 0.000 0.787
4 Ga 0.235 0.500 0.529
5 Os 0.000 0.196 0.500
6 Os 0.000 0.500 0.000

Record 12
First-principles (PBE) data for an optimized crystal structure of Er3ZnCu8, as listed in the Alexandria database.

Properties
Total DFT energy (no corrections) ... -4.19 eV per atom
Energy of formation from the pure elements ... -0.21 eV/atom

a b c (Å): 5.1173 5.1173 25.1580
angles (deg): 90.00 90.00 120.00
Space group R3m (No. 160, hexagonal axes)
Asymmetric unit:
1 Er 0.0000 0.0000 0.0000
2 Er 0.0000 0.0000 0.1272
3 Er 0.0000 0.0000 0.6119
4 Zn 0.0000 0.0000 0.4897
5 Cu 0.0000 0.0000 0.3074
6 Cu 0.0000 0.0000 0.8091
7 Cu 0.0007 0.5004 0.0594
8 Cu 0.0059 0.5029 0.5576

Record 13
First-principles (PBE) data for an optimized crystal structure of YMgCu4, as listed in the Alexandria database.

Properties
Total DFT energy (no corrections) ... -4.31 eV per atom
Energy of formation from the pure elements ... -0.23 eV/atom

a b c (Å): 7.240 7.240 7.240
angles (deg): 90.00 90.00 90.00
Space group F-43m (No. 216)
Asymmetric unit:
1 Y 0.000 0.000 0.000
2 Mg 0.250 0.250 0.250
3 Cu 0.124 0.124 0.624

Record 14
First-principles (PBE) data for an optimized crystal structure of ZnCrCdIr2, as listed in the Alexandria database.

Properties
Total DFT energy (no corrections) ... -4.15 eV per atom
Energy of formation from the pure elements ... 1.76 eV/atom

a b c (Å): 4.914 4.914 4.609
angles (deg): 90.00 90.00 90.00
Space group P4/mmm (No. 123)
Asymmetric unit:
1 Zn 0.000 0.000 0.000
2 Cr 0.500 0.500 0.000
3 Cd 0.000 0.000 0.500
4 Ir 0.000 0.500 0.500

Record 15
First-principles (PBE) data for an optimized crystal structure of MnRhI2, as listed in the Alexandria database.

Properties
Energy relative to the elements, uncorrected ... 0.974 eV/atom
Total DFT energy (no corrections) ... -3.93 eV per atom
Distance to the lowest polymorph of the same formula ... 264.8 kJ/mol of formula units

a b c (Å): 6.797 6.797 6.797
angles (deg): 90.00 90.00 90.00
Space group Fm-3m (No. 225)
Asymmetric unit:
1 Mn 0.000 0.000 0.000
2 Rh 0.000 0.000 0.500
3 I 0.250 0.250 0.250

Record 16
First-principles (PBE) data for an optimized crystal structure of BeCdIn, as listed in the Alexandria database.

Properties
Total DFT energy (no corrections) ... -2.01 eV per atom
Distance to the lowest polymorph of the same formula ... 54.4 kJ/mol of formula units
Energy of formation from the pure elements ... 0.45 eV/atom

a b c (Å): 4.2645 4.2645 3.8505
angles (deg): 90.00 90.00 120.00
Space group P3m1 (No. 156)
Asymmetric unit:
1 Be 0.0000 0.0000 0.0000
2 Cd 0.6667 0.3333 0.2403
3 In 0.3333 0.6667 0.7333

Record 17
First-principles (PBE) data for an optimized crystal structure of La2Zn12Cu3Ni, as listed in the Alexandria database.

Properties
Total DFT energy (no corrections) ... -2.41 eV per atom
Energy of formation from the pure elements ... -0.01 eV/atom

a b c (Å): 6.4143 6.4143 27.5954
angles (deg): 90.00 90.00 120.00
Space group R-3m (No. 166, hexagonal axes)
Asymmetric unit:
1 La 0.0000 0.0000 0.1494
2 Zn 0.0514 0.5257 0.0980
3 Zn 0.0668 0.5334 0.6190
4 Cu 0.0000 0.5000 0.0000
5 Ni 0.0000 0.0000 0.5000

Record 18
First-principles (PBE) data for an optimized crystal structure of K2Ca2Cd, as listed in the Alexandria database.

Properties
Total DFT energy (no corrections) ... -1.32 eV per atom
Energy of formation from the pure elements ... 0.10 eV/atom

a b c (Å): 8.395 8.395 6.973
angles (deg): 90.00 90.00 90.00
Space group P4/mbm (No. 127)
Asymmetric unit:
1 K 0.176 0.324 0.000
2 Ca 0.161 0.661 0.500
3 Cd 0.000 0.000 0.500

Record 19
First-principles (PBE) data for an optimized crystal structure of Cs2DyCuF6, as listed in the Alexandria database.

Properties
Energy relative to the elements, uncorrected ... -2.952 eV/atom
Total DFT energy (no corrections) ... -5.12 eV per atom

a b c (Å): 8.232 9.873 9.962
angles (deg): 90.00 90.00 90.00
Space group Fmmm (No. 69)
Asymmetric unit:
1 Cs 0.250 0.250 0.250
2 Dy 0.000 0.000 0.000
3 Cu 0.000 0.000 0.500
4 F 0.000 0.000 0.218
5 F 0.000 0.220 0.000
6 F 0.230 0.000 0.500

Record 20
First-principles (PBE) data for an optimized crystal structure of NbIrW2, as listed in the Alexandria database.

Properties
Total DFT energy (no corrections) ... -10.58 eV per atom
Distance to the lowest polymorph of the same formula ... 201.6 kJ/mol of formula units
Energy of formation from the pure elements ... 0.63 eV/atom

a b c (Å): 7.366 7.366 5.256
angles (deg): 90.00 90.00 90.00
Space group I-42d (No. 122)
Asymmetric unit:
1 Nb 0.000 0.000 0.000
2 Ir 0.000 0.000 0.500
3 W 0.229 0.250 0.625